1.
Crystalline Ho4GaHgSe2 at its relaxed geometry, computed with GGA-PBE.

Properties
- E (eV per atom) = -4.69
- space-group type = P2/m (10)

a b c (Å): 3.9562 6.8678 7.7505
angles (deg): 107.07 90.00 90.00
Closest atoms and distances in Å follow each position.
Sites, in units of the cell vectors:
Se 0.5000 0.0000 0.5000  6 Ho 2.90-2.92
Se 0.0000 0.5000 0.5000  6 Ho 2.87
Ho 0.0000 0.2529 0.7418  3 Se 2.87-2.92, 2 Ga 2.97, 1 Hg 3.01
Ho 0.0000 0.7471 0.2582  3 Se 2.87-2.92, 2 Ga 2.97, 1 Hg 3.01
Ho 0.5000 0.7407 0.7360  3 Se 2.87-2.90, 1 Ga 2.98, 2 Hg 3.02
Ho 0.5000 0.2593 0.2640  3 Se 2.87-2.90, 1 Ga 2.98, 2 Hg 3.02
Ga 0.5000 0.5000 0.0000  6 Ho 2.97-2.98
Hg 0.0000 0.0000 0.0000  6 Ho 3.01-3.02

***

2.
Crystalline TbHoGaHg at its relaxed geometry, computed with GGA-PBE.

Properties
- energy relative to the lowest polymorph listed for this composition (meV per atom) = 0.0
- E (eV per atom) = -3.67
- energy of formation (eV/f.u.) = -2.13
- space-group type = P4mm (99)

a b c (Å): 3.6156 3.6156 7.4334
angles (deg): 90.00 90.00 90.00
Closest atoms and distances in Å follow each position.
Sites, in units of the cell vectors:
Ga 0.5000 0.5000 0.6035  4 Ho 3.09, 4 Tb 3.11
Ho 0.0000 0.0000 0.3702  4 Ga 3.09, 4 Hg 3.20
Tb 0.0000 0.0000 0.8422  4 Ga 3.11, 4 Hg 3.25
Hg 0.5000 0.5000 0.1120  4 Ho 3.20, 4 Tb 3.25

***

3.
Crystalline TbHoGaHg at its relaxed geometry, computed with GGA-PBE.

Properties
- energy relative to the lowest polymorph listed for this composition (meV per atom) = 21.5
- E (eV per atom) = -3.64
- energy of formation (eV/f.u.) = -2.04
- space-group type = F-43m (216)

a b c (Å): 5.1774 5.1774 5.1774
angles (deg): 60.00 60.00 60.00
Closest atoms and distances in Å follow each position.
Sites, in units of the cell vectors:
Ho 0.2500 0.2500 0.2500  4 Hg 3.17, 4 Ga 3.17
Hg 0.0000 0.0000 0.0000  4 Tb 3.17, 4 Ho 3.17
Tb 0.7500 0.7500 0.7500  4 Hg 3.17, 4 Ga 3.17
Ga 0.5000 0.5000 0.5000  4 Ho 3.17, 4 Tb 3.17

***

4.
Crystalline HoTlGaHg at its relaxed geometry, computed with GGA-PBE.

Properties
- E (eV per atom) = -2.73
- energy of formation (eV/f.u.) = -0.65
- space-group type = F-43m (216)

a b c (Å): 5.1766 5.1766 5.1766
angles (deg): 60.00 60.00 60.00
Closest atoms and distances in Å follow each position.
Sites, in units of the cell vectors:
Hg 0.7500 0.7500 0.7500  4 Tl 3.17, 4 Ho 3.17
Tl 0.5000 0.5000 0.5000  4 Hg 3.17, 4 Ga 3.17
Ho 0.0000 0.0000 0.0000  4 Hg 3.17, 4 Ga 3.17
Ga 0.2500 0.2500 0.2500  4 Tl 3.17, 4 Ho 3.17

***

5.
Crystalline GaHgI2 at its relaxed geometry, computed with GGA-PBE.

Properties
- energy relative to the lowest polymorph listed for this composition (meV per atom) = 189.5
- E (eV per atom) = -1.68
- space-group type = Fm-3m (225)

a b c (Å): 5.6667 5.6667 5.6667
angles (deg): 60.00 60.00 60.00
Closest atoms and distances in Å follow each position.
Sites, in units of the cell vectors:
Hg 0.5000 0.5000 0.5000  8 I 3.47
I 0.2500 0.2500 0.2500  4 Hg 3.47, 4 Ga 3.47
I 0.7500 0.7500 0.7500  4 Ga 3.47, 4 Hg 3.47
Ga 0.0000 0.0000 0.0000  8 I 3.47

***

6.
Crystalline Ga3HgI at its relaxed geometry, computed with GGA-PBE.

Properties
- energy relative to the lowest polymorph listed for this composition (meV per atom) = 0.0
- E (eV per atom) = -2.02
- space-group type = Pm-3m (221)

a b c (Å): 5.3782 5.3782 5.3782
angles (deg): 90.00 90.00 90.00
Closest atoms and distances in Å follow each position.
Sites, in units of the cell vectors:
I 0.5000 0.5000 0.5000  12 Ga 3.80
Ga 0.0000 0.0000 0.5000  2 Hg 2.69
Ga 0.0000 0.5000 0.0000  2 Hg 2.69
Ga 0.5000 0.0000 0.0000  2 Hg 2.69
Hg 0.0000 0.0000 0.0000  6 Ga 2.69

***

7.
Crystalline GaHg4I at its relaxed geometry, computed with GGA-PBE.

Properties
- energy relative to the lowest polymorph listed for this composition (meV per atom) = 84.0
- E (eV per atom) = -0.92
- space-group type = F-43m (216)

a b c (Å): 6.4683 6.4683 6.4683
angles (deg): 60.00 60.00 60.00
Closest atoms and distances in Å follow each position.
Sites, in units of the cell vectors:
I 0.2500 0.2500 0.2500  12 Hg 3.79, 4 Ga 3.96
Ga 0.0000 0.0000 0.0000  12 Hg 3.79, 4 I 3.96
Hg 0.1255 0.6248 0.6248  6 Hg 3.23-3.24
Hg 0.6248 0.6248 0.1255  6 Hg 3.23-3.24
Hg 0.6248 0.1255 0.6248  6 Hg 3.23-3.24
Hg 0.6248 0.6248 0.6248  6 Hg 3.23-3.24

***

8.
Crystalline Ga2Hg2I at its relaxed geometry, computed with GGA-PBE.

Properties
- energy relative to the lowest polymorph listed for this composition (meV per atom) = 31.3
- E (eV per atom) = -1.63
- space-group type = I4/mmm (139)

a b c (Å): 5.3246 5.3246 6.3976
angles (deg): 65.41 65.41 90.00
Closest atoms and distances in Å follow each position.
Sites, in units of the cell vectors:
Ga 0.7500 0.2500 0.5000  4 Hg 2.87
Ga 0.2500 0.7500 0.5000  4 Hg 2.87
Hg 0.3532 0.3532 0.2937  4 Ga 2.87, 1 Hg 3.04
Hg 0.6468 0.6468 0.7063  4 Ga 2.87, 1 Hg 3.04
I 0.0000 0.0000 0.0000  10 Hg 3.65-4.06, 8 Ga 3.71

***

9.
Crystalline GaHgI3 at its relaxed geometry, computed with GGA-PBE.

Properties
- energy relative to the lowest polymorph listed for this composition (meV per atom) = 0.0
- E (eV per atom) = -1.97
- space-group type = P2_1/c (14)

a b c (Å): 5.5993 9.1478 19.2894
angles (deg): 119.06 90.00 90.00
Closest atoms and distances in Å follow each position.
Sites, in units of the cell vectors:
I 0.7774 0.8055 0.4478  2 Ga 2.73-2.77
I 0.7226 0.8055 0.9478  2 Ga 2.73-2.77
I 0.7620 0.1274 0.1971  1 Ga 2.58
I 0.2774 0.1945 0.0522  2 Ga 2.73-2.77
I 0.2620 0.8726 0.3029  1 Ga 2.58
I 0.2380 0.8726 0.8029  1 Ga 2.58
I 0.7721 0.5814 0.1022  1 Hg 2.75
I 0.2279 0.4186 0.8978  1 Hg 2.75
I 0.7380 0.1274 0.6971  1 Ga 2.58
I 0.2721 0.4186 0.3978  1 Hg 2.75
I 0.7279 0.5814 0.6022  1 Hg 2.75
I 0.2226 0.1945 0.5522  2 Ga 2.73-2.77
Hg 0.3578 0.7651 0.5906  1 Ga 2.53, 1 I 2.75
Hg 0.8578 0.2349 0.9094  1 Ga 2.53, 1 I 2.75
Hg 0.1422 0.7651 0.0906  1 Ga 2.53, 1 I 2.75
Hg 0.6422 0.2349 0.4094  1 Ga 2.53, 1 I 2.75
Ga 0.0367 0.9537 0.5848  1 Hg 2.53, 3 I 2.58-2.77
Ga 0.5367 0.0463 0.9152  1 Hg 2.53, 3 I 2.58-2.77
Ga 0.9633 0.0463 0.4152  1 Hg 2.53, 3 I 2.58-2.77
Ga 0.4633 0.9537 0.0848  1 Hg 2.53, 3 I 2.58-2.77

***

10.
Crystalline Ga2Hg2I at its relaxed geometry, computed with GGA-PBE.

Properties
- energy relative to the lowest polymorph listed for this composition (meV per atom) = 0.0
- E (eV per atom) = -1.66
- space-group type = I4/mmm (139)

a b c (Å): 4.6394 4.6394 7.3196
angles (deg): 71.52 71.52 90.00
Closest atoms and distances in Å follow each position.
Sites, in units of the cell vectors:
Ga 0.6024 0.6024 0.7952  1 Ga 2.68
Ga 0.3976 0.3976 0.2048  1 Ga 2.68
Hg 0.7500 0.2500 0.5000  4 Ga 3.02, 4 Hg 3.28
Hg 0.2500 0.7500 0.5000  4 Ga 3.02, 4 Hg 3.28
I 0.0000 0.0000 0.0000  8 Ga 3.54

***

11.
Crystalline Ga4Hg5I4 at its relaxed geometry, computed with GGA-PBE.

Properties
- E (eV per atom) = -1.70
- space-group type = P-1 (2)

a b c (Å): 4.6478 10.2247 10.2247
angles (deg): 87.05 76.92 76.86
Closest atoms and distances in Å follow each position.
Sites, in units of the cell vectors:
Hg 0.5865 0.7544 0.0721  2 Ga 3.16-3.17, 2 Hg 3.45
Hg 0.0000 0.0000 0.0000  8 Hg 3.45, 4 Ga 3.54
Hg 0.3411 0.0721 0.2456  2 Ga 3.16, 2 Hg 3.45
Hg 0.6589 0.9279 0.7544  2 Ga 3.16, 2 Hg 3.45
Hg 0.4135 0.2456 0.9279  2 Ga 3.16-3.17, 2 Hg 3.45
Ga 0.7510 0.2851 0.2128  3 I 3.05-3.08, 2 Hg 3.16
Ga 0.9623 0.7872 0.2851  3 I 3.05-3.08, 2 Hg 3.16-3.17
Ga 0.0377 0.2128 0.7149  3 I 3.05-3.08, 2 Hg 3.16-3.17
Ga 0.2490 0.7149 0.7872  3 I 3.05-3.08, 2 Hg 3.16
I 0.8560 0.5126 0.7759  3 Ga 3.05-3.08
I 0.1440 0.4874 0.2241  3 Ga 3.05-3.08
I 0.6323 0.2241 0.5127  3 Ga 3.05-3.08
I 0.3677 0.7759 0.4873  3 Ga 3.05-3.08

***

12.
Crystalline GaHg2I8 at its relaxed geometry, computed with GGA-PBE.

Properties
- energy relative to the lowest polymorph listed for this composition (meV per atom) = 0.0
- E (eV per atom) = -1.67
- space-group type = C2/m (12)

a b c (Å): 6.9944 8.7206 8.7206
angles (deg): 93.68 85.37 85.37
Closest atoms and distances in Å follow each position.
Sites, in units of the cell vectors:
Hg 0.3553 0.2331 0.2331  4 I 2.82-2.88
Hg 0.6447 0.7669 0.7669  4 I 2.82-2.88
I 0.2382 0.7878 0.7878  1 Hg 2.82, 1 Ga 2.86
I 0.2101 0.2539 0.9345  1 Ga 2.82, 1 Hg 2.88
I 0.7513 0.5295 0.5295  1 Hg 2.84
I 0.2101 0.9345 0.2539  1 Ga 2.82, 1 Hg 2.88
I 0.7618 0.2122 0.2122  1 Hg 2.82, 1 Ga 2.86
I 0.7899 0.0655 0.7461  1 Ga 2.82, 1 Hg 2.88
I 0.7899 0.7461 0.0655  1 Ga 2.82, 1 Hg 2.88
I 0.2487 0.4705 0.4705  1 Hg 2.84
Ga 0.0000 0.0000 0.0000  6 I 2.82-2.86